Entry 1:
Compound: Zr6Fe2Cu
Source: the Alexandria database
Functional: PBE-GGA
Structure: relaxed

The space group is Immm (No. 71) and the conventional cell measures 8.317, 8.700 and 9.635 Å, with angles of 90.00, 90.00 and 90.00 degrees. The inequivalent atoms are Zr at (0.000, 0.199, 0.229), Zr at (0.198, 0.500, 0.171), Zr at (0.202, 0.316, 0.500), Fe at (0.000, 0.332, 0.000), Fe at (0.000, 0.500, 0.364), Cu at (0.000, 0.000, 0.000) and Cu at (0.000, 0.000, 0.500).

Its formation enthalpy at 0 K is -1.99 kcal/mol of atoms.


Entry 2:
Compound: ZrFe2Cu
Source: the Alexandria database
Functional: PBE-GGA
Structure: relaxed

The space group is Imm2 (No. 44) and the conventional cell measures 3.634, 3.934 and 7.900 Å, with angles of 90.00, 90.00 and 90.00 degrees. The inequivalent atoms are Zr at (0.000, 0.000, 0.000), Fe at (0.000, 0.000, 0.489), Fe at (0.000, 0.500, 0.754) and Cu at (0.000, 0.500, 0.242).

Its formation enthalpy at 0 K is 0.28 kcal/mol of atoms.


Entry 3:
Compound: ZrFeCu3
Source: the Alexandria database
Functional: PBE-GGA
Structure: relaxed

The space group is Pm-3m (No. 221) and the conventional cell measures 4.382, 4.382 and 4.382 Å, with angles of 90.00, 90.00 and 90.00 degrees. The inequivalent atoms are Zr at (0.000, 0.000, 0.000), Fe at (0.500, 0.500, 0.500) and Cu at (0.000, 0.500, 0.500).

Its formation enthalpy at 0 K is 16.02 kcal/mol of atoms. The energy above the most stable polymorph in this dataset is 0 meV/atom.


Number 1: size of the total moment 0.00 Bohr magnetons per cell, mass density 6.9 g/cm³. Number 2: size of the total moment 7.11 Bohr magnetons per cell, mass density 7.8 g/cm³. Number 3: size of the total moment 2.14 Bohr magnetons per cell, mass density 6.7 g/cm³.